LiReNi: relaxed, GGA-PBEsol.

```
data_LiReNi
_chemical_formula_sum 'Li2 Re2 Ni2'
_space_group_name_H-M_alt 'I m m 2'
_space_group_IT_number 44
_cell_length_a 2.514
_cell_length_b 3.745
_cell_length_c 7.644
_cell_angle_alpha 90.00
_cell_angle_beta 90.00
_cell_angle_gamma 90.00
loop_
_space_group_symop_operation_xyz
'x,y,z'
'-x,-y,z'
'-x,y,z'
'x,-y,z'
'x+1/2,y+1/2,z+1/2'
'-x+1/2,-y+1/2,z+1/2'
'-x+1/2,y+1/2,z+1/2'
'x+1/2,-y+1/2,z+1/2'
loop_
_atom_site_label
_atom_site_fract_x
_atom_site_fract_y
_atom_site_fract_z
_atom_site_occupancy
Li1 0.000 0.000 0.000 1
Re1 0.000 0.000 0.323 1
Ni1 0.000 0.000 0.663 1
```

D(E_F), states/eV/cell: 5.729
ΔE to the lowest computed polymorph, meV per atom: 82

LiRe2Ni: relaxed, GGA-PBEsol.

```
data_LiRe2Ni
_chemical_formula_sum 'Li2 Re4 Ni2'
_space_group_name_H-M_alt 'C m m 2'
_space_group_IT_number 35
_cell_length_a 2.976
_cell_length_b 4.266
_cell_length_c 8.575
_cell_angle_alpha 90.00
_cell_angle_beta 90.00
_cell_angle_gamma 90.00
loop_
_space_group_symop_operation_xyz
'x,y,z'
'-x,-y,z'
'-x,y,z'
'x,-y,z'
'x+1/2,y+1/2,z'
'-x+1/2,-y+1/2,z'
'-x+1/2,y+1/2,z'
'x+1/2,-y+1/2,z'
loop_
_atom_site_label
_atom_site_fract_x
_atom_site_fract_y
_atom_site_fract_z
_atom_site_occupancy
Li1 0.000 0.000 0.000 1
Re1 0.000 0.000 0.471 1
Re2 0.000 0.500 0.730 1
Ni1 0.000 0.500 0.240 1
```

D(E_F), states/eV/cell: 6.111
ΔE to the lowest computed polymorph, meV per atom: 64

Li4ReNi: relaxed, GGA-PBEsol.

```
data_Li4ReNi
_chemical_formula_sum 'Li16 Re4 Ni4'
_space_group_name_H-M_alt 'F -4 3 m'
_space_group_IT_number 216
_space_group_name_Hall 'F -4 2 3'
_cell_length_a 6.563
_cell_length_b 6.563
_cell_length_c 6.563
_cell_angle_alpha 90.00
_cell_angle_beta 90.00
_cell_angle_gamma 90.00
loop_
_atom_site_label
_atom_site_fract_x
_atom_site_fract_y
_atom_site_fract_z
_atom_site_occupancy
Li1 0.125 0.125 0.125 1
Re1 0.000 0.000 0.500 1
Ni1 0.250 0.250 0.750 1
```

D(E_F), states/eV/cell: 8.900
E_tot, Ry/atom: -0.2910

LiRe2Ni: relaxed, GGA-PBEsol.

```
data_LiRe2Ni
_chemical_formula_sum 'Li2 Re4 Ni2'
_space_group_name_H-M_alt 'I 4/m m m'
_space_group_IT_number 139
_space_group_name_Hall '-I 4 2'
_cell_length_a 3.583
_cell_length_b 3.583
_cell_length_c 7.885
_cell_angle_alpha 90.00
_cell_angle_beta 90.00
_cell_angle_gamma 90.00
loop_
_atom_site_label
_atom_site_fract_x
_atom_site_fract_y
_atom_site_fract_z
_atom_site_occupancy
Li1 0.000 0.000 0.000 1
Re1 0.000 0.500 0.250 1
Ni1 0.000 0.000 0.500 1
```

D(E_F), states/eV/cell: 4.716
ΔE to the lowest computed polymorph, meV per atom: 74

LiReNi: relaxed, GGA-PBEsol.

```
data_LiReNi
_chemical_formula_sum 'Li4 Re4 Ni4'
_space_group_name_H-M_alt 'F m m 2'
_space_group_IT_number 42
_space_group_name_Hall 'F 2 -2'
_cell_length_a 3.027
_cell_length_b 4.089
_cell_length_c 12.668
_cell_angle_alpha 90.00
_cell_angle_beta 90.00
_cell_angle_gamma 90.00
loop_
_atom_site_label
_atom_site_fract_x
_atom_site_fract_y
_atom_site_fract_z
_atom_site_occupancy
Li1 0.000 0.000 0.000 1
Re1 0.000 0.000 0.682 1
Ni1 0.000 0.000 0.336 1
```

D(E_F), states/eV/cell: 11.498
ΔE to the lowest computed polymorph, meV per atom: 0

LiRe2Ni: relaxed, GGA-PBEsol.

```
data_LiRe2Ni
_chemical_formula_sum 'Li2 Re4 Ni2'
_space_group_name_H-M_alt 'C 1 m 1'
_space_group_IT_number 8
_cell_length_a 8.704
_cell_length_b 2.533
_cell_length_c 4.738
_cell_angle_alpha 90.00
_cell_angle_beta 95.85
_cell_angle_gamma 90.00
loop_
_space_group_symop_operation_xyz
'x,y,z'
'x,-y,z'
'x+1/2,y+1/2,z'
'x+1/2,-y+1/2,z'
loop_
_atom_site_label
_atom_site_fract_x
_atom_site_fract_y
_atom_site_fract_z
_atom_site_occupancy
Li1 0.000 0.000 0.000 1
Re1 0.243 0.000 0.731 1
Re2 0.483 0.000 0.490 1
Ni1 0.254 0.500 0.211 1
```

D(E_F), states/eV/cell: 4.628
ΔE to the lowest computed polymorph, meV per atom: 35

LiRe2Ni: relaxed, GGA-PBEsol.

```
data_LiRe2Ni
_chemical_formula_sum 'Li2 Re4 Ni2'
_space_group_name_H-M_alt 'I -4 m 2'
_space_group_IT_number 119
_space_group_name_Hall 'I -4 -2'
_cell_length_a 4.166
_cell_length_b 4.166
_cell_length_c 5.916
_cell_angle_alpha 90.00
_cell_angle_beta 90.00
_cell_angle_gamma 90.00
loop_
_atom_site_label
_atom_site_fract_x
_atom_site_fract_y
_atom_site_fract_z
_atom_site_occupancy
Li1 0.000 0.000 0.000 1
Re1 0.000 0.000 0.500 1
Re2 0.000 0.500 0.250 1
Ni1 0.000 0.500 0.750 1
```

D(E_F), states/eV/cell: 6.815
ΔE to the lowest computed polymorph, meV per atom: 0

Li3ReNi: relaxed, GGA-PBEsol.

```
data_Li3ReNi
_chemical_formula_sum 'Li3 Re1 Ni1'
_space_group_name_H-M_alt 'P m -3 m'
_space_group_IT_number 221
_space_group_name_Hall '-P 4 2 3'
_cell_length_a 4.007
_cell_length_b 4.007
_cell_length_c 4.007
_cell_angle_alpha 90.00
_cell_angle_beta 90.00
_cell_angle_gamma 90.00
loop_
_atom_site_label
_atom_site_fract_x
_atom_site_fract_y
_atom_site_fract_z
_atom_site_occupancy
Li1 0.000 0.000 0.500 1
Re1 0.500 0.500 0.500 1
Ni1 0.000 0.000 0.000 1
```

D(E_F), states/eV/cell: 4.898
E_tot, Ry/atom: -0.2761

Li2NiRh: relaxed, GGA-PBEsol.

```
data_Li2NiRh
_chemical_formula_sum 'Li4 Ni2 Rh2'
_space_group_name_H-M_alt 'C m m m'
_space_group_IT_number 65
_space_group_name_Hall '-C 2 2'
_cell_length_a 2.634
_cell_length_b 4.343
_cell_length_c 8.486
_cell_angle_alpha 90.00
_cell_angle_beta 90.00
_cell_angle_gamma 90.00
loop_
_atom_site_label
_atom_site_fract_x
_atom_site_fract_y
_atom_site_fract_z
_atom_site_occupancy
Li1 0.000 0.000 0.245 1
Ni1 0.000 0.500 0.000 1
Rh1 0.000 0.500 0.500 1
```

D(E_F), states/eV/cell: 5.797
ΔE to the lowest computed polymorph, meV per atom: 66

Li2NiRh: relaxed, GGA-PBEsol.

```
data_Li2NiRh
_chemical_formula_sum 'Li2 Ni1 Rh1'
_space_group_name_H-M_alt 'P 1 2/m 1'
_space_group_IT_number 10
_cell_length_a 2.511
_cell_length_b 4.257
_cell_length_c 4.467
_cell_angle_alpha 90.00
_cell_angle_beta 92.46
_cell_angle_gamma 90.00
loop_
_space_group_symop_operation_xyz
'x,y,z'
'-x,-y,-z'
'-x,y,-z'
'x,-y,z'
loop_
_atom_site_label
_atom_site_fract_x
_atom_site_fract_y
_atom_site_fract_z
_atom_site_occupancy
Li1 0.219 0.000 0.249 1
Ni1 0.000 0.500 0.500 1
Rh1 0.500 0.500 0.000 1
```

D(E_F), states/eV/cell: 3.010
ΔE to the lowest computed polymorph, meV per atom: 19

LiNiRh: relaxed, GGA-PBEsol.

```
data_LiNiRh
_chemical_formula_sum 'Li4 Ni4 Rh4'
_space_group_name_H-M_alt 'F m m 2'
_space_group_IT_number 42
_space_group_name_Hall 'F 2 -2'
_cell_length_a 2.649
_cell_length_b 4.360
_cell_length_c 12.876
_cell_angle_alpha 90.00
_cell_angle_beta 90.00
_cell_angle_gamma 90.00
loop_
_atom_site_label
_atom_site_fract_x
_atom_site_fract_y
_atom_site_fract_z
_atom_site_occupancy
Li1 0.000 0.000 0.000 1
Ni1 0.000 0.000 0.336 1
Rh1 0.000 0.000 0.671 1
```

D(E_F), states/eV/cell: 17.090
ΔE to the lowest computed polymorph, meV per atom: 0

Li2NiRh: relaxed, GGA-PBEsol.

```
data_Li2NiRh
_chemical_formula_sum 'Li2 Ni1 Rh1'
_space_group_name_H-M_alt 'P 4/m m m'
_space_group_IT_number 123
_space_group_name_Hall '-P 4 2'
_cell_length_a 3.470
_cell_length_b 3.470
_cell_length_c 4.008
_cell_angle_alpha 90.00
_cell_angle_beta 90.00
_cell_angle_gamma 90.00
loop_
_atom_site_label
_atom_site_fract_x
_atom_site_fract_y
_atom_site_fract_z
_atom_site_occupancy
Li1 0.000 0.500 0.000 1
Ni1 0.000 0.000 0.500 1
Rh1 0.500 0.500 0.500 1
```

D(E_F), states/eV/cell: 4.209
ΔE to the lowest computed polymorph, meV per atom: 119